[1]
# DyAgAu GGA-PBE optimized geometry
# Calculated formation energy (eV per atom): -0.6271
# Energy above the most stable polymorph in this dataset (eV/atom): 0.000
# Electronic total energy (eV per atom): -4.191
# Calculated density (g/cm3): 12.16
data_DyAgAu
_chemical_formula_sum 'Dy2 Ag2 Au2'
_space_group_name_H-M_alt 'I 4 m m'
_space_group_IT_number 107
_space_group_name_Hall 'I 4 -2'
_cell_length_a 3.7388
_cell_length_b 3.7388
_cell_length_c 9.1290
_cell_angle_alpha 90.00
_cell_angle_beta 90.00
_cell_angle_gamma 90.00
loop_
_atom_site_label
_atom_site_fract_x
_atom_site_fract_y
_atom_site_fract_z
Dy1 0.0000 0.0000 0.0000
Ag1 0.0000 0.0000 0.6731
Au1 0.0000 0.0000 0.3400



[2]
# DyAgAu GGA-PBE optimized geometry
# Calculated formation energy (eV per atom): -0.6153
# Energy above the most stable polymorph in this dataset (eV/atom): 0.012
# Electronic total energy (eV per atom): -4.179
# Calculated density (g/cm3): 12.19
data_DyAgAu
_chemical_formula_sum 'Dy2 Ag2 Au2'
_space_group_name_H-M_alt 'P 4/m m m'
_space_group_IT_number 123
_space_group_name_Hall '-P 4 2'
_cell_length_a 3.7358
_cell_length_b 3.7358
_cell_length_c 9.1252
_cell_angle_alpha 90.00
_cell_angle_beta 90.00
_cell_angle_gamma 90.00
loop_
_atom_site_label
_atom_site_fract_x
_atom_site_fract_y
_atom_site_fract_z
Dy1 0.0000 0.0000 0.0000
Dy2 0.5000 0.5000 0.5000
Ag1 0.0000 0.0000 0.3320
Au1 0.5000 0.5000 0.1668



[3]
# DyEr2Mg3AgAu2 GGA-PBE optimized geometry
# Electronic total energy (eV per atom): -3.638
# Calculated density (g/cm3): 8.70
data_DyEr2Mg3AgAu2
_chemical_formula_sum 'Dy2 Er4 Mg6 Ag2 Au4'
_space_group_name_H-M_alt 'A m m 2'
_space_group_IT_number 38
_space_group_name_Hall 'A 2 -2'
_cell_length_a 3.9719
_cell_length_b 13.3694
_cell_length_c 7.7030
_cell_angle_alpha 90.00
_cell_angle_beta 90.00
_cell_angle_gamma 90.00
loop_
_atom_site_label
_atom_site_fract_x
_atom_site_fract_y
_atom_site_fract_z
Dy1 0.0000 0.0000 0.0000
Er1 0.0000 0.2068 0.6206
Mg1 0.5000 0.0000 0.6646
Mg2 0.5000 0.1258 0.2885
Ag1 0.0000 0.0000 0.4145
Au1 0.5000 0.1678 0.9131



[4]
# Dy2ErMg3AgAu2 GGA-PBE optimized geometry
# Electronic total energy (eV per atom): -3.643
# Calculated density (g/cm3): 8.65
data_Dy2ErMg3AgAu2
_chemical_formula_sum 'Dy4 Er2 Mg6 Ag2 Au4'
_space_group_name_H-M_alt 'A m m 2'
_space_group_IT_number 38
_space_group_name_Hall 'A 2 -2'
_cell_length_a 3.9827
_cell_length_b 13.3407
_cell_length_c 7.7116
_cell_angle_alpha 90.00
_cell_angle_beta 90.00
_cell_angle_gamma 90.00
loop_
_atom_site_label
_atom_site_fract_x
_atom_site_fract_y
_atom_site_fract_z
Dy1 0.0000 0.2070 0.0000
Er1 0.0000 0.0000 0.6207
Mg1 0.5000 0.0000 0.9560
Mg2 0.5000 0.1250 0.3327
Ag1 0.0000 0.0000 0.2077
Au1 0.5000 0.1655 0.7062



[5]
# Dy2ErZn3AgAu2 GGA-PBE optimized geometry
# Calculated formation energy (eV per atom): -0.5847
# Electronic total energy (eV per atom): -3.576
# Calculated density (g/cm3): 10.55
data_Dy2ErZn3AgAu2
_chemical_formula_sum 'Dy4 Er2 Zn6 Ag2 Au4'
_space_group_name_H-M_alt 'A m m 2'
_space_group_IT_number 38
_space_group_name_Hall 'A 2 -2'
_cell_length_a 3.8224
_cell_length_b 13.0178
_cell_length_c 7.5309
_cell_angle_alpha 90.00
_cell_angle_beta 90.00
_cell_angle_gamma 90.00
loop_
_atom_site_label
_atom_site_fract_x
_atom_site_fract_y
_atom_site_fract_z
Dy1 0.0000 0.2031 0.0000
Er1 0.0000 0.0000 0.6091
Zn1 0.5000 0.0000 0.9441
Zn2 0.5000 0.1292 0.3331
Ag1 0.0000 0.0000 0.2044
Au1 0.5000 0.1657 0.7027



[6]
# DyEr2Zn3AgAu2 GGA-PBE optimized geometry
# Calculated formation energy (eV per atom): -0.5856
# Electronic total energy (eV per atom): -3.572
# Calculated density (g/cm3): 10.66
data_DyEr2Zn3AgAu2
_chemical_formula_sum 'Dy2 Er4 Zn6 Ag2 Au4'
_space_group_name_H-M_alt 'A m m 2'
_space_group_IT_number 38
_space_group_name_Hall 'A 2 -2'
_cell_length_a 3.8016
_cell_length_b 13.0404
_cell_length_c 7.5068
_cell_angle_alpha 90.00
_cell_angle_beta 90.00
_cell_angle_gamma 90.00
loop_
_atom_site_label
_atom_site_fract_x
_atom_site_fract_y
_atom_site_fract_z
Dy1 0.0000 0.0000 0.0000
Er1 0.0000 0.2026 0.6080
Zn1 0.5000 0.0000 0.6656
Zn2 0.5000 0.1306 0.2755
Ag1 0.0000 0.0000 0.4064
Au1 0.5000 0.1677 0.9049



[7]
# GdDy2Zn3AgAu2 GGA-PBE optimized geometry
# Calculated formation energy (eV per atom): -0.5805
# Electronic total energy (eV per atom): -3.582
# Calculated density (g/cm3): 10.32
data_GdDy2Zn3AgAu2
_chemical_formula_sum 'Gd2 Dy4 Zn6 Ag2 Au4'
_space_group_name_H-M_alt 'A m m 2'
_space_group_IT_number 38
_space_group_name_Hall 'A 2 -2'
_cell_length_a 3.8429
_cell_length_b 13.0970
_cell_length_c 7.5443
_cell_angle_alpha 90.00
_cell_angle_beta 90.00
_cell_angle_gamma 90.00
loop_
_atom_site_label
_atom_site_fract_x
_atom_site_fract_y
_atom_site_fract_z
Gd1 0.0000 0.0000 0.0000
Dy1 0.0000 0.2032 0.3904
Zn1 0.5000 0.0000 0.3357
Zn2 0.5000 0.1294 0.7220
Ag1 0.0000 0.0000 0.5922
Au1 0.5000 0.1677 0.0941



[8]
# Gd2DyZn3AgAu2 GGA-PBE optimized geometry
# Calculated formation energy (eV per atom): -0.5774
# Electronic total energy (eV per atom): -3.584
# Calculated density (g/cm3): 10.20
data_Gd2DyZn3AgAu2
_chemical_formula_sum 'Gd4 Dy2 Zn6 Ag2 Au4'
_space_group_name_H-M_alt 'A m m 2'
_space_group_IT_number 38
_space_group_name_Hall 'A 2 -2'
_cell_length_a 3.8465
_cell_length_b 13.1054
_cell_length_c 7.5858
_cell_angle_alpha 90.00
_cell_angle_beta 90.00
_cell_angle_gamma 90.00
loop_
_atom_site_label
_atom_site_fract_x
_atom_site_fract_y
_atom_site_fract_z
Gd1 0.0000 0.2029 0.0000
Dy1 0.0000 0.0000 0.3914
Zn1 0.5000 0.0000 0.0571
Zn2 0.5000 0.1292 0.6669
Ag1 0.0000 0.0000 0.7960
Au1 0.5000 0.1655 0.2978